Ho2Ga12Au: relaxed, PBE-GGA.

a = 6.183 Å, b = 6.183 Å, c = 15.339 Å
α = 90.00°, β = 90.00°, γ = 90.00°
Sites, in units of the cell vectors:
1 Ho 0.500 0.000 0.250
2 Ho 0.000 0.500 0.250
3 Ho 0.000 0.500 0.750
4 Ho 0.500 0.000 0.750
5 Ga 0.500 0.500 0.810
6 Ga 0.000 0.000 0.810
7 Ga 0.750 0.750 0.904
8 Ga 0.250 0.750 0.904
9 Ga 0.000 0.000 0.348
10 Ga 0.250 0.750 0.096
11 Ga 0.834 0.334 0.569
12 Ga 0.500 0.500 0.348
13 Ga 0.250 0.250 0.904
14 Ga 0.750 0.750 0.096
15 Ga 0.334 0.166 0.569
16 Ga 0.666 0.166 0.431
17 Ga 0.000 0.000 0.652
18 Ga 0.166 0.334 0.431
19 Ga 0.250 0.250 0.096
20 Ga 0.834 0.666 0.431
21 Ga 0.666 0.834 0.569
22 Ga 0.000 0.000 0.190
23 Ga 0.166 0.666 0.569
24 Ga 0.500 0.500 0.652
25 Ga 0.750 0.250 0.904
26 Ga 0.500 0.500 0.190
27 Ga 0.334 0.834 0.431
28 Ga 0.750 0.250 0.096
29 Au 0.500 0.000 0.000
30 Au 0.000 0.500 0.000

* E: -3.54 eV/atom
* M_tot: 0.00 μB/cell

=====

NpMnOsRh: relaxed, PBE-GGA.

a = 4.580 Å, b = 4.580 Å, c = 4.580 Å
α = 60.00°, β = 60.00°, γ = 60.00°
Each line ends with the local moment (μB).
Sites, in units of the cell vectors:
1 Np 0.750 0.750 0.750  3.25
2 Rh 0.000 0.000 0.000  -0.05
3 Mn 0.250 0.250 0.250  3.76
4 Os 0.500 0.500 0.500  -0.13

* E: -10.13 eV/atom
* M_tot: 7.16 μB/cell

=====

ZrSc3W: relaxed, PBE-GGA.

a = 5.043 Å, b = 5.043 Å, c = 5.043 Å
α = 90.00°, β = 90.00°, γ = 90.00°
Each line ends with the local moment (μB).
Sites, in units of the cell vectors:
1 Sc 0.000 0.500 0.000  0.04
2 Sc 0.000 0.000 0.500  0.03
3 Sc 0.500 0.000 0.000  0.04
4 Zr 0.500 0.500 0.500  0.51
5 W 0.000 0.000 0.000  -0.11

* energy above the lowest structure with this stoichiometry: 0 kJ/mol of formula units
* E: -7.37 eV/atom
* M_tot: 0.94 μB/cell

=====

BaMg2Sb: relaxed, PBE-GGA.

a = 11.199 Å, b = 11.199 Å, c = 11.199 Å
α = 18.39°, β = 18.39°, γ = 18.39°
Sites, in units of the cell vectors:
1 Ba 0.753 0.753 0.753
2 Mg 0.989 0.989 0.989
3 Mg 0.248 0.248 0.248
4 Sb 0.510 0.510 0.510

* E: -2.27 eV/atom
* uncorrected formation energy: 0.034 eV per atom
* M_tot: 0.00 μB/cell

=====

SmYPdRh: relaxed, PBE-GGA.

a = 4.963 Å, b = 4.963 Å, c = 4.963 Å
α = 60.00°, β = 60.00°, γ = 60.00°
Sites, in units of the cell vectors:
1 Y 0.750 0.750 0.750
2 Rh 0.500 0.500 0.500
3 Pd 0.000 0.000 0.000
4 Sm 0.250 0.250 0.250

* energy above the lowest structure with this stoichiometry: 7 kJ/mol of formula units
* E: -6.74 eV/atom
* M_tot: 0.00 μB/cell

=====

MgCo2NiN: relaxed, PBE-GGA.

a = 3.778 Å, b = 3.778 Å, c = 3.842 Å
α = 90.00°, β = 90.00°, γ = 90.00°
Each line ends with the local moment (μB).
Sites, in units of the cell vectors:
1 Ni 0.000 0.000 0.500  0.27
2 Mg 0.500 0.500 0.500  -0.02
3 Co 0.000 0.500 0.000  0.99
4 Co 0.500 0.000 0.000  0.99
5 N 0.000 0.000 0.000  0.07

* energy above the lowest structure with this stoichiometry: 0 kJ/mol of formula units
* E: -6.12 eV/atom
* uncorrected formation energy: -0.141 eV per atom
* M_tot: 2.21 μB/cell

=====

Rb2HgPd: relaxed, PBE-GGA.

a = 3.964 Å, b = 3.964 Å, c = 9.424 Å
α = 90.00°, β = 90.00°, γ = 90.00°
Sites, in units of the cell vectors:
1 Rb 0.000 0.000 0.788
2 Rb 0.000 0.000 0.212
3 Hg 0.500 0.500 0.500
4 Pd 0.500 0.500 0.000

* E: -1.78 eV/atom
* M_tot: 0.00 μB/cell

=====

ZnSi2Se: relaxed, PBE-GGA.

a = 2.666 Å, b = 5.085 Å, c = 5.166 Å
α = 90.00°, β = 90.00°, γ = 90.00°
Sites, in units of the cell vectors:
1 Se 0.500 0.500 0.750
2 Si 0.000 0.000 0.012
3 Si 0.000 0.000 0.488
4 Zn 0.500 0.500 0.250

* energy above the lowest structure with this stoichiometry: 162 kJ/mol of formula units
* E: -3.47 eV/atom
* uncorrected formation energy: 0.432 eV per atom
* M_tot: 0.00 μB/cell

=====

VBPt2: relaxed, PBE-GGA.

a = 5.197 Å, b = 5.197 Å, c = 6.226 Å
α = 65.34°, β = 65.34°, γ = 90.00°
Each line ends with the local moment (μB).
Sites, in units of the cell vectors:
1 B 0.500 0.500 0.000  0.00
2 B 0.250 0.750 0.500  0.00
3 Pt 0.565 0.125 0.250  -0.01
4 Pt 0.185 0.625 0.250  -0.01
5 Pt 0.375 0.435 0.750  -0.01
6 Pt 0.875 0.815 0.750  -0.01
7 V 0.000 0.000 0.000  0.28
8 V 0.750 0.250 0.500  0.28

* E: -6.86 eV/atom
* M_tot: 0.55 μB/cell

=====

CaLaBi2: relaxed, PBE-GGA.

a = 4.865 Å, b = 4.865 Å, c = 7.741 Å
α = 71.69°, β = 71.69°, γ = 60.00°
Sites, in units of the cell vectors:
1 Ca 0.670 0.670 0.990
2 La 0.495 0.495 0.516
3 Bi 0.084 0.084 0.749
4 Bi 0.252 0.252 0.245

* energy above the lowest structure with this stoichiometry: 26 kJ/mol of formula units
* E: -4.41 eV/atom
* M_tot: 0.00 μB/cell

=====

K2OsPdO6: relaxed, PBE-GGA.

a = 5.329 Å, b = 5.967 Å, c = 5.967 Å
α = 120.00°, β = 90.00°, γ = 90.00°
Each line ends with the local moment (μB).
Sites, in units of the cell vectors:
1 K 0.279 0.333 0.667  0.00
2 K 0.721 0.667 0.333  0.00
3 Os 0.000 0.000 0.000  1.09
4 Pd 0.500 0.000 0.000  0.17
5 O 0.767 0.145 0.291  0.09
6 O 0.767 0.145 0.855  0.09
7 O 0.767 0.709 0.855  0.09
8 O 0.233 0.855 0.145  0.09
9 O 0.233 0.291 0.145  0.09
10 O 0.233 0.855 0.709  0.09

* E: -5.82 eV/atom
* uncorrected formation energy: -0.983 eV per atom
* M_tot: 2.02 μB/cell

=====

La2PrHo6Tm3: relaxed, PBE-GGA.

a = 6.188 Å, b = 6.188 Å, c = 11.807 Å
α = 95.01°, β = 95.01°, γ = 119.99°
Sites, in units of the cell vectors:
1 La 0.333 0.667 0.000
2 La 0.667 0.333 0.000
3 Pr 0.000 0.000 0.000
4 Ho 0.913 0.580 0.743
5 Ho 0.754 0.754 0.257
6 Ho 0.087 0.420 0.257
7 Ho 0.580 0.913 0.743
8 Ho 0.246 0.246 0.743
9 Ho 0.420 0.087 0.257
10 Tm 0.167 0.833 0.500
11 Tm 0.833 0.167 0.500
12 Tm 0.500 0.500 0.500

* E: -4.60 eV/atom
* M_tot: 0.00 μB/cell